Ti2MoH: optimized geometry, GGA-PBE.

Lattice parameters (Å, degrees): 4.2922 4.2922 4.2922 60.00 60.00 60.00
Element x y z (fractional)
Ti (0.2500, 0.2500, 0.2500)
Ti (0.7500, 0.7500, 0.7500)
Mo (0.0000, 0.0000, 0.0000)
H (0.5000, 0.5000, 0.5000)

The space-group type is No. 225. As for the volume: 14.0 Å³ per atom. As for the size of the total moment: 0.00 μB per formula unit.

***

Ti3MoH: optimized geometry, GGA-PBE.

Lattice parameters (Å, degrees): 4.0785 4.0785 4.0785 90.00 90.00 90.00
Element x y z (fractional)
Ti (0.0000, 0.0000, 0.5000)
Ti (0.0000, 0.5000, 0.0000)
Ti (0.5000, 0.0000, 0.0000)
Mo (0.5000, 0.5000, 0.5000)
H (0.0000, 0.0000, 0.0000)

The space-group type is No. 221. As for the volume: 13.6 Å³ per atom. As for the size of the total moment: 0.00 μB per formula unit.

***

Ti2MoH: optimized geometry, GGA-PBE.

Lattice parameters (Å, degrees): 5.2054 5.2054 5.2054 113.11 113.11 102.41
Element x y z (fractional)
Ti (0.0275, 0.6250, 0.9025)
Ti (0.3750, 0.2775, 0.4025)
Ti (0.7225, 0.1250, 0.0975)
Ti (0.8750, 0.9725, 0.5975)
Mo (0.2500, 0.7500, 0.5000)
Mo (0.5000, 0.5000, 0.0000)
H (0.0000, 0.0000, 0.0000)
H (0.7500, 0.2500, 0.5000)

The space-group type is No. 122. As for the volume: 13.4 Å³ per atom. As for the size of the total moment: 0.00 μB per formula unit.

***

Ti3MoH4: optimized geometry, GGA-PBE.

Lattice parameters (Å, degrees): 6.6391 4.7405 4.7810 90.00 90.00 90.00
Element x y z (fractional)
Ti (0.0000, 0.2466, 0.0000)
Ti (0.2492, 0.2490, 0.4998)
Ti (0.2508, 0.7510, 0.9998)
Ti (0.5000, 0.7534, 0.5000)
Ti (0.7492, 0.7510, 0.9998)
Ti (0.7508, 0.2490, 0.4998)
Mo (0.0000, 0.7520, 0.5010)
Mo (0.5000, 0.2480, 0.0010)
H (0.0000, 0.3890, 0.3622)
H (0.0000, 0.6169, 0.8625)
H (0.2476, 0.8715, 0.3743)
H (0.2524, 0.1285, 0.8743)
H (0.5000, 0.3831, 0.3625)
H (0.5000, 0.6110, 0.8622)
H (0.7476, 0.1285, 0.8743)
H (0.7524, 0.8715, 0.3743)

The space-group type is No. 31. As for the volume: 9.4 Å³ per atom. As for the size of the total moment: 0.01 μB per formula unit.

***

Total DFT energy (no corrections) readings, ordered: -28.043 -38.103 -59.014 -100.735 eV for the cell shown